No. 1
! Sc5Ga2Sn2 | the Alexandria database | PBE | relaxed; values from VASP
! **D(E_F)**: 11.91 states/eV/cell
! **Total magnetization**: 0.00 μB per formula unit
! **Formation energy**: -5.48 eV per formula unit
&SYSTEM
  ibrav = 0, nat = 18, ntyp = 3
/
ATOMIC_SPECIES
Sc 44.96 Sc.upf
Ga 69.72 Ga.upf
Sn 118.71 Sn.upf
CELL_PARAMETERS angstrom
7.355 0.000 0.000
0.000 7.513 0.000
0.000 -3.756 7.270
ATOMIC_POSITIONS crystal
Sc 0.325 0.953 0.260
Sc 0.325 0.693 0.740
Ga 0.124 0.623 0.000
Sn 0.500 0.713 0.426
Sn 0.000 0.787 0.574
Sn 0.000 0.213 0.426
Sc 0.675 0.047 0.740
Ga 0.624 0.877 0.000
Sn 0.500 0.287 0.574
Sc 0.500 0.500 0.000
Sc 0.175 0.453 0.260
Sc 0.675 0.307 0.260
Ga 0.876 0.377 0.000
Sc 0.000 0.000 0.000
Sc 0.175 0.193 0.740
Ga 0.376 0.123 0.000
Sc 0.825 0.547 0.740
Sc 0.825 0.807 0.260


No. 2
! ScGa2Sn2 | the Alexandria database | PBE | relaxed; values from VASP
! **ΔE to the lowest computed polymorph**: 0 meV per atom
! **D(E_F)**: 6.03 states/eV/cell
! **Total magnetization**: 0.00 μB per formula unit
! **Formation energy**: -1.12 eV per formula unit
&SYSTEM
  ibrav = 0, nat = 10, ntyp = 3
/
ATOMIC_SPECIES
Sn 118.71 Sn.upf
Sc 44.96 Sc.upf
Ga 69.72 Ga.upf
CELL_PARAMETERS angstrom
-4.014 -1.506 0.534
0.785 -0.644 4.090
-1.827 11.858 2.218
ATOMIC_POSITIONS crystal
Sn 0.135 0.250 0.270
Sc 0.353 0.250 0.706
Sn 0.865 0.750 0.730
Ga 0.042 0.750 0.084
Sn 0.750 0.250 0.499
Sc 0.647 0.750 0.294
Ga 0.958 0.250 0.916
Ga 0.545 0.250 0.090
Sn 0.250 0.750 0.501
Ga 0.455 0.750 0.910


No. 3
! Sc5Ga2Sn | the Alexandria database | PBE | relaxed; values from VASP
! **D(E_F)**: 15.98 states/eV/cell
! **Total magnetization**: 0.00 μB per formula unit
! **Formation energy**: -4.69 eV per formula unit
&SYSTEM
  ibrav = 0, nat = 16, ntyp = 3
/
ATOMIC_SPECIES
Sc 44.96 Sc.upf
Ga 69.72 Ga.upf
Sn 118.71 Sn.upf
CELL_PARAMETERS angstrom
-1.782 5.344 4.775
-3.557 -4.931 4.191
8.047 -1.321 -1.229
ATOMIC_POSITIONS crystal
Sc 0.500 0.500 0.000
Sc 0.804 0.986 0.290
Sc 0.486 0.304 0.290
Ga 0.865 0.635 0.000
Sc 0.986 0.486 0.290
Sn 0.750 0.750 0.500
Sc 0.196 0.014 0.710
Sc 0.514 0.696 0.710
Sn 0.250 0.250 0.500
Ga 0.135 0.365 0.000
Ga 0.365 0.865 0.000
Sc 0.696 0.196 0.710
Sc 0.000 0.000 0.000
Ga 0.635 0.135 0.000
Sc 0.304 0.804 0.290
Sc 0.014 0.514 0.710


No. 4
! ScGa2Sn | the Alexandria database | PBE | relaxed; values from VASP
! **D(E_F)**: 1.87 states/eV/cell
! **Total magnetization**: 0.00 μB per formula unit
! **Formation energy**: -1.58 eV per formula unit
&SYSTEM
  ibrav = 0, nat = 4, ntyp = 3
/
ATOMIC_SPECIES
Sc 44.96 Sc.upf
Sn 118.71 Sn.upf
Ga 69.72 Ga.upf
CELL_PARAMETERS angstrom
-1.398 3.643 -1.647
-2.254 -2.209 -2.972
-3.415 -0.105 2.668
ATOMIC_POSITIONS crystal
Sc 0.500 0.500 0.500
Sn 0.500 0.000 0.000
Ga 0.000 0.500 0.000
Ga 0.000 0.000 0.500


No. 5
! ScGa2Sn | the Alexandria database | PBE | relaxed; values from VASP
! **D(E_F)**: 2.64 states/eV/cell
! **Total magnetization**: 0.00 μB per formula unit
! **Formation energy**: -0.53 eV per formula unit
&SYSTEM
  ibrav = 0, nat = 4, ntyp = 3
/
ATOMIC_SPECIES
Sc 44.96 Sc.upf
Ga 69.72 Ga.upf
Sn 118.71 Sn.upf
CELL_PARAMETERS angstrom
4.541 0.000 0.000
2.270 3.932 0.000
2.270 1.311 4.868
ATOMIC_POSITIONS crystal
Sc 0.500 0.500 0.500
Ga 0.757 0.757 0.730
Sn 0.000 0.000 0.000
Ga 0.243 0.243 0.270


No. 6
! Sc3Ga2Sn | the Alexandria database | PBE | relaxed; values from VASP
! **D(E_F)**: 7.04 states/eV/cell
! **Total magnetization**: 0.00 μB per formula unit
! **Formation energy**: -3.32 eV per formula unit
&SYSTEM
  ibrav = 0, nat = 12, ntyp = 3
/
ATOMIC_SPECIES
Sc 44.96 Sc.upf
Ga 69.72 Ga.upf
Sn 118.71 Sn.upf
CELL_PARAMETERS angstrom
5.833 0.000 0.000
0.000 5.945 -0.023
-2.916 -1.506 7.148
ATOMIC_POSITIONS crystal
Sc 0.938 0.410 0.649
Sc 0.365 0.750 0.000
Ga 0.220 0.942 0.665
Ga 0.556 0.558 0.335
Sc 0.635 0.250 0.000
Ga 0.780 0.058 0.335
Ga 0.444 0.442 0.665
Sc 0.062 0.590 0.351
Sc 0.289 0.090 0.351
Sn 0.861 0.750 0.000
Sn 0.139 0.250 0.000
Sc 0.711 0.910 0.649